Record 1
Entry from Alexandria via LeMat-Bulk: a relaxed structure of LaPmIn2Te4 (PBE-GGA).

space group	No. 10
total magnetization	0.0	μB per cell
density of states at the Fermi level	0.02	states/eV per cell
electronic total energy	-4.494	eV/atom
crystal system	monoclinic
calculated volume	36.5	A^3/atom
energy relative to the elements, uncorrected	-1.029	eV per atom

Lattice parameters (Å, degrees): 7.9008 4.5615 8.5218 90.00 107.97 90.00
Sites, in units of the cell vectors:
La: 0.0000 0.0000 0.0000
Pm: 0.5000 0.5000 0.0000
In: 0.0000 0.5000 0.5000
In: 0.5000 0.0000 0.5000
Te: 0.2478 0.5000 0.2274
Te: 0.2635 0.0000 0.7748
Te: 0.7365 0.0000 0.2252
Te: 0.7522 0.5000 0.7726

***

Record 2
Entry from Alexandria via LeMat-Bulk: a relaxed structure of U2RuRh (PBE-GGA).

space group	No. 216
total magnetization	1.3	μB per cell
density of states at the Fermi level	6.19	states/eV per cell
electronic total energy	-10.232	eV/atom
crystal system	cubic
calculated volume	17.2	A^3/atom
formation energy	-0.431	eV/atom

Lattice parameters (Å, degrees): 4.5985 4.5985 4.5985 60.00 60.00 60.00
Sites, in units of the cell vectors:
U: 0.0000 0.0000 0.0000
U: 0.2500 0.2500 0.2500
Ru: 0.5000 0.5000 0.5000
Rh: 0.7500 0.7500 0.7500

***

Record 3
Entry from Alexandria via LeMat-Bulk: a relaxed structure of YTa3S (PBE-GGA).

space group	No. 221
total magnetization	0.0	μB per cell
ΔE to the lowest computed polymorph	2.512	eV per atom
density of states at the Fermi level	5.19	states/eV per cell
electronic total energy	-6.639	eV/atom
crystal system	cubic
calculated volume	24.6	A^3/atom
energy relative to the elements, uncorrected	2.590	eV per atom

Lattice parameters (Å, degrees): 4.9730 4.9730 4.9730 90.00 90.00 90.00
Sites, in units of the cell vectors:
Y: 0.0000 0.0000 0.0000
Ta: 0.0000 0.0000 0.5000
Ta: 0.0000 0.5000 0.0000
Ta: 0.5000 0.0000 0.0000
S: 0.5000 0.5000 0.5000

***

Record 4
Entry from Alexandria via LeMat-Bulk: a relaxed structure of CsTl2In2Pb (PBE-GGA).

space group	No. 164
total magnetization	0.0	μB per cell
density of states at the Fermi level	2.60	states/eV per cell
electronic total energy	-2.534	eV/atom
crystal system	trigonal
calculated volume	37.2	A^3/atom
formation energy	-0.072	eV/atom

Lattice parameters (Å, degrees): 5.4151 5.4151 8.7979 90.00 90.00 120.00
Sites, in units of the cell vectors:
Cs: 0.0000 0.0000 0.0000
Tl: 0.3333 0.6667 0.2953
Tl: 0.6667 0.3333 0.7047
In: 0.3333 0.6667 0.6673
In: 0.6667 0.3333 0.3327
Pb: 0.0000 0.0000 0.5000

***

Record 5
Entry from Alexandria via LeMat-Bulk: a relaxed structure of Cs2NbTeIr (PBE-GGA).

space group	No. 123
total magnetization	4.9	μB per cell
density of states at the Fermi level	7.75	states/eV per cell
electronic total energy	-3.562	eV/atom
crystal system	tetragonal
calculated volume	51.9	A^3/atom
energy relative to the elements, uncorrected	1.194	eV per atom

Lattice parameters (Å, degrees): 7.3246 7.3246 4.8404 90.00 90.00 90.00
Sites, in units of the cell vectors:
Cs: 0.0000 0.5000 0.0000
Cs: 0.5000 0.0000 0.0000
Nb: 0.0000 0.0000 0.5000
Te: 0.5000 0.5000 0.0000
Ir: 0.5000 0.5000 0.5000

***

Record 6
Entry from Alexandria via LeMat-Bulk: a relaxed structure of Sm2YRh (PBE-GGA).

space group	No. 62
total magnetization	0.0	μB per cell
ΔE to the lowest computed polymorph	0.000	eV per atom
density of states at the Fermi level	17.66	states/eV per cell
electronic total energy	-6.288	eV/atom
crystal system	orthorhombic
calculated volume	28.1	A^3/atom
formation energy	-0.475	eV/atom

Lattice parameters (Å, degrees): 7.2526 9.8134 6.3195 90.00 90.00 90.00
Sites, in units of the cell vectors:
Sm: 0.1778 0.0647 0.1696
Sm: 0.1778 0.4353 0.1696
Sm: 0.3222 0.5647 0.6696
Sm: 0.3222 0.9353 0.6696
Sm: 0.6778 0.0647 0.3304
Sm: 0.6778 0.4353 0.3304
Sm: 0.8222 0.5647 0.8304
Sm: 0.8222 0.9353 0.8304
Y: 0.0356 0.2500 0.6441
Y: 0.4644 0.7500 0.1441
Y: 0.5356 0.2500 0.8559
Y: 0.9644 0.7500 0.3559
Rh: 0.1200 0.7500 0.9382
Rh: 0.3800 0.2500 0.4382
Rh: 0.6200 0.7500 0.5618
Rh: 0.8800 0.2500 0.0618